A relaxed structure of CsAcZrS4. Source: the Alexandria database, functional PBE.

For the total energy, the calculation gives -6.00 eV/atom. Its density of states at the Fermi level is 0.0 states/eV/cell. The calculation puts the magnetization at 0.00 Bohr magnetons per cell. The calculation puts the volume at 488.3 Å³ per cell. Its energy relative to the elements, uncorrected is -11.95 eV per formula unit.

It has space group P2_1/m (No. 11), with a = 7.355 Å, b = 7.157 Å, c = 9.737 Å, α = 90.00°, β = 107.71° and γ = 90.00°. The asymmetric unit holds Cs at (0.217, 0.250, 0.435), Ac at (0.282, 0.250, 0.947), Zr at (0.264, 0.750, 0.170), S at (0.056, 0.750, 0.929), S at (0.059, 0.750, 0.321) and S at (0.491, 0.004, 0.197).



A relaxed structure of Cs3Ac3ZrS8. Source: the Alexandria database, functional PBE.

For the total energy, the calculation gives -5.56 eV/atom. Its density of states at the Fermi level is 0.0 states/eV/cell. The calculation puts the magnetization at 0.00 Bohr magnetons per cell. The calculation puts the volume at 1594.9 Å³ per cell. Its energy relative to the elements, uncorrected is -26.99 eV per formula unit.

It has space group R-3m (No. 166, hexagonal axes), with a = 8.6347 Å, b = 8.6347 Å, c = 24.6987 Å, α = 90.00°, β = 90.00° and γ = 120.00°. The asymmetric unit holds Cs at (0.0000, 0.5000, 0.0000), Ac at (0.0000, 0.5000, 0.5000), Zr at (0.0000, 0.0000, 0.5000), S at (0.0000, 0.0000, 0.2315) and S at (0.0368, 0.5184, 0.2253).



What did the first record say?
A relaxed structure of CsAcZrS4. Source: the Alexandria database, functional PBE.

For the total energy, the calculation gives -6.00 eV/atom. Its density of states at the Fermi level is 0.0 states/eV/cell. The calculation puts the magnetization at 0.00 Bohr magnetons per cell. The calculation puts the volume at 488.3 Å³ per cell. Its energy relative to the elements, uncorrected is -11.95 eV per formula unit.

It has space group P2_1/m (No. 11), with a = 7.355 Å, b = 7.157 Å, c = 9.737 Å, α = 90.00°, β = 107.71° and γ = 90.00°. The asymmetric unit holds Cs at (0.217, 0.250, 0.435), Ac at (0.282, 0.250, 0.947), Zr at (0.264, 0.750, 0.170), S at (0.056, 0.750, 0.929), S at (0.059, 0.750, 0.321) and S at (0.491, 0.004, 0.197).



> Number 1 is which compound?

CsAcZrS4